Entry 1:
Compound: MgTc2Au
Source: Alexandria
Functional: PBE
Structure: optimized geometry

As for the excess energy over the best structure of this formula in the dataset: 85 kJ/mol of formula units. The value obtained for the total energy is -6.2217 eV/atom.

The structure belongs to space group Immm (No. 71); the cell edges are 3.3128, 4.1178 and 9.3502 Å and the angles 90.00°, 90.00° and 90.00°. Symmetry generates all atoms from Mg at (0.0000, 0.0000, 0.0000), Tc at (0.0000, 0.5000, 0.2483) and Au at (0.0000, 0.0000, 0.5000).

Entry 2:
Compound: MgTc3Au
Source: Alexandria
Functional: PBE
Structure: optimized geometry

As for the excess energy over the best structure of this formula in the dataset: 0 kJ/mol of formula units. The value obtained for the total energy is -5.2153 eV/atom.

The structure belongs to space group Pm-3m (No. 221); the cell edges are 4.4649, 4.4649 and 4.4649 Å and the angles 90.00°, 90.00° and 90.00°. Symmetry generates all atoms from Mg at (0.0000, 0.0000, 0.0000), Tc at (0.0000, 0.0000, 0.5000) and Au at (0.5000, 0.5000, 0.5000).

Entry 3:
Compound: MgTcAu2
Source: Alexandria
Functional: PBE
Structure: optimized geometry

As for the excess energy over the best structure of this formula in the dataset: 46 kJ/mol of formula units. The value obtained for the total energy is -4.5277 eV/atom.

The structure belongs to space group Imm2 (No. 44); the cell edges are 2.8218, 4.9087 and 9.9005 Å and the angles 90.00°, 90.00° and 90.00°. Symmetry generates all atoms from Mg at (0.0000, 0.0000, 0.0000), Tc at (0.0000, 0.5000, 0.7533), Au at (0.0000, 0.0000, 0.4984) and Au at (0.0000, 0.5000, 0.2547).

Entry 4:
Compound: MgTc2Au
Source: Alexandria
Functional: PBE
Structure: optimized geometry

As for the excess energy over the best structure of this formula in the dataset: 222 kJ/mol of formula units. The value obtained for the total energy is -5.8671 eV/atom.

The structure belongs to space group Fm-3m (No. 225); the cell edges are 6.3397, 6.3397 and 6.3397 Å and the angles 90.00°, 90.00° and 90.00°. Symmetry generates all atoms from Mg at (0.0000, 0.0000, 0.0000), Tc at (0.2500, 0.2500, 0.2500) and Au at (0.0000, 0.0000, 0.5000).

no.,formation energy from the elements (kJ/mol of atoms)
1,17.3
2,190.9
3,9.8
4,51.5